Entry 1:
## PrLuZnIn (PBE)

Data for a geometry-optimized PrLuZnIn structure.

Its energy relative to the elements is -361 meV/atom. As for the space group: No. 216.

Structure (POSCAR):
```
PrLuZnIn
1.0
-0.453 0.075 -5.245
2.085 -3.884 -2.878
-3.143 -3.462 -2.421
Pr Lu Zn In
1 1 1 1
Direct
0.250 0.250 0.250 Pr
0.750 0.750 0.750 Lu
0.000 0.000 0.000 Zn
0.500 0.500 0.500 In
```

***

Entry 2:
## Lu2InPt (PBE)

Data for a geometry-optimized Lu2InPt structure.

The distance to the lowest polymorph of the same formula comes out at 100 meV/atom. Its energy relative to the elements is -784 meV/atom. As for the space group: No. 225.

Structure (POSCAR):
```
Lu2InPt
1.0
5.029 0.000 0.000
2.514 4.355 0.000
2.514 1.452 4.106
Lu In Pt
2 1 1
Direct
0.750 0.750 0.750 Lu
0.250 0.250 0.250 Lu
0.500 0.500 0.500 In
0.000 0.000 0.000 Pt
```

***

Entry 3:
## LuIn2Pt (PBE)

Data for a geometry-optimized LuIn2Pt structure.

Its energy relative to the elements is 10 meV/atom. As for the space group: No. 166.

Structure (POSCAR):
```
LuIn2Pt
1.0
3.371 0.000 0.000
1.686 2.920 0.000
1.686 0.973 10.258
In Lu Pt
2 1 1
Direct
0.899 0.899 0.304 In
0.101 0.101 0.696 In
0.000 0.000 0.000 Lu
0.500 0.500 0.500 Pt
```

***

Entry 4:
## Lu2InPt (PBE)

Data for a geometry-optimized Lu2InPt structure.

The distance to the lowest polymorph of the same formula comes out at 147 meV/atom. Its energy relative to the elements is -737 meV/atom. As for the space group: No. 166.

Structure (POSCAR):
```
Lu2InPt
1.0
-3.543 -0.862 -1.053
-1.792 -2.942 1.595
-4.750 3.741 6.081
Lu In Pt
2 1 1
Direct
0.734 0.734 0.797 Lu
0.266 0.266 0.203 Lu
0.500 0.500 0.500 In
0.000 0.000 0.000 Pt
```

***

Entry 5:
## LuInPt2 (PBE)

Data for a geometry-optimized LuInPt2 structure.

Its energy relative to the elements is -917 meV/atom. As for the space group: No. 123.

Structure (POSCAR):
```
LuInPt2
1.0
-0.412 -1.479 -3.090
3.133 1.096 -0.942
2.574 -5.424 2.252
Lu Pt In
1 2 1
Direct
0.500 0.500 0.500 Lu
0.000 0.000 0.246 Pt
0.000 0.000 0.754 Pt
0.500 0.500 0.000 In
```

***

Entry 6:
## LuInPt (PBE)

Data for a geometry-optimized LuInPt structure.

Its energy relative to the elements is -995 meV/atom. As for the space group: No. 189.

Structure (POSCAR):
```
LuInPt
1.0
-5.165 5.321 -1.912
1.372 -5.874 -4.718
-2.679 -1.990 1.698
Pt In Lu
3 3 3
Direct
0.000 0.000 0.500 Pt
0.667 0.333 0.000 Pt
0.333 0.667 0.000 Pt
0.734 0.734 0.000 In
0.000 0.266 0.000 In
0.266 0.000 0.000 In
0.000 0.598 0.500 Lu
0.598 0.000 0.500 Lu
0.402 0.402 0.500 Lu
```

***

Entry 7:
## LuInPt (PBE)

Data for a geometry-optimized LuInPt structure.

Its energy relative to the elements is -777 meV/atom. As for the space group: No. 107.

Structure (POSCAR):
```
LuInPt
1.0
-1.951 -2.384 1.338
2.519 -2.206 -0.257
1.508 3.736 4.641
Pt In Lu
1 1 1
Direct
0.287 0.287 0.573 Pt
0.633 0.633 0.267 In
0.930 0.930 0.860 Lu
```

***

Entry 8:
## LuInPt2 (PBE)

Data for a geometry-optimized LuInPt2 structure.

Its energy relative to the elements is -958 meV/atom. As for the space group: No. 225.

Structure (POSCAR):
```
LuInPt2
1.0
4.752 0.000 0.000
2.376 4.116 0.000
2.376 1.372 3.880
In Pt Lu
1 2 1
Direct
0.000 0.000 0.000 In
0.750 0.750 0.750 Pt
0.250 0.250 0.250 Pt
0.500 0.500 0.500 Lu
```